First-principles (PBE-GGA) data for a relaxed YLuAsO crystal, as listed in OQMD via LeMat-Bulk.

Structure (POSCAR):
```
YLuAsO
1.0
4.306 0.000 0.000
0.000 4.306 0.000
0.000 0.000 8.586
Y Lu As O
2 2 2 2
Direct
0.250 0.750 0.000
0.750 0.250 0.000
0.250 0.250 0.409
0.750 0.750 0.591
0.250 0.250 0.788
0.750 0.750 0.212
0.250 0.750 0.500
0.750 0.250 0.500
```

As for the volume: 159 Å³/cell. The space group is P4/nmm (129). The calculation puts the uncorrected energy at -6.9928 eV/atom.



First-principles (PBE-GGA) data for a relaxed PmGaPd crystal, as listed in OQMD via LeMat-Bulk.

Structure (POSCAR):
```
PmGaPd
1.0
7.151 0.000 0.000
0.000 4.550 0.000
0.000 0.000 7.721
Pm Ga Pd
4 4 4
Direct
0.020 0.250 0.198
0.480 0.750 0.698
0.520 0.250 0.302
0.980 0.750 0.802
0.176 0.250 0.578
0.324 0.750 0.078
0.676 0.250 0.922
0.824 0.750 0.422
0.212 0.750 0.406
0.288 0.250 0.906
0.712 0.750 0.094
0.788 0.250 0.594
```

As for the volume: 251 Å³/cell. The space group is Pnma (62). The calculation puts the uncorrected energy at -5.1791 eV/atom.



First-principles (PBE-GGA) data for a relaxed Er3PbC crystal, as listed in OQMD via LeMat-Bulk.

Structure (POSCAR):
```
Er3PbC
1.0
4.859 0.000 0.000
0.000 4.859 0.000
0.000 0.000 4.859
Er Pb C
3 1 1
Direct
0.000 0.000 0.500
0.000 0.500 0.000
0.500 0.000 0.000
0.500 0.500 0.500
0.000 0.000 0.000
```

As for the volume: 115 Å³/cell. The space group is Pm-3m (221). The calculation puts the uncorrected energy at -5.8834 eV/atom.



First-principles (PBE-GGA) data for a relaxed La2Si3Tc3 crystal, as listed in OQMD via LeMat-Bulk.

Structure (POSCAR):
```
La2Si3Tc3
1.0
2.467 1.424 8.533
-2.467 1.424 8.533
0.000 -2.848 8.533
La Si Tc
2 3 3
Direct
0.220 0.220 0.220
0.780 0.780 0.780
0.049 0.049 0.049
0.500 0.500 0.500
0.951 0.951 0.951
0.000 0.500 0.500
0.500 0.000 0.500
0.500 0.500 0.000
```

As for the volume: 180 Å³/cell. The space group is R-3m (166). The calculation puts the uncorrected energy at -7.2071 eV/atom.